Record 1
# BaSm4Ga4 | the Alexandria database | GGA-PBE | relaxed
data_BaSm4Ga4
_space_group_name_H-M_alt 'P 1'
_space_group_IT_number 1
_cell_length_a 9.6296
_cell_length_b 9.6296
_cell_length_c 5.9466
_cell_angle_alpha 90.00
_cell_angle_beta 90.00
_cell_angle_gamma 90.00
loop_
_space_group_symop_operation_xyz
'x,y,z'
loop_
_atom_site_label
_atom_site_type_symbol
_atom_site_fract_x
_atom_site_fract_y
_atom_site_fract_z
_atom_site_occupancy
Ba1 Ba 0.2500 0.2500 0.2500 1
Ba2 Ba 0.7500 0.7500 0.7500 1
Sm1 Sm 0.1081 0.8533 0.6246 1
Sm2 Sm 0.1467 0.6081 0.1246 1
Sm3 Sm 0.3533 0.8919 0.1246 1
Sm4 Sm 0.3919 0.6467 0.6246 1
Sm5 Sm 0.6081 0.3533 0.3754 1
Sm6 Sm 0.6467 0.1081 0.8754 1
Sm7 Sm 0.8533 0.3919 0.8754 1
Sm8 Sm 0.8919 0.1467 0.3754 1
Ga1 Ga 0.0238 0.8996 0.1325 1
Ga2 Ga 0.1004 0.5238 0.6325 1
Ga3 Ga 0.3996 0.9762 0.6325 1
Ga4 Ga 0.4762 0.6004 0.1325 1
Ga5 Ga 0.5238 0.3996 0.8675 1
Ga6 Ga 0.6004 0.0238 0.3675 1
Ga7 Ga 0.8996 0.4762 0.3675 1
Ga8 Ga 0.9762 0.1004 0.8675 1
# - Volume: 551.4 Å³ per cell
# - Formation energy: -300 meV per atom
# - DOS(E_F): 20.68 states/eV per cell
# - Total magnetic moment: 0.0 μB per formula unit

---

Record 2
# BaSm2Ga | the Alexandria database | GGA-PBE | relaxed
data_BaSm2Ga
_space_group_name_H-M_alt 'P 1'
_space_group_IT_number 1
_cell_length_a 11.8117
_cell_length_b 11.8117
_cell_length_c 11.8117
_cell_angle_alpha 18.39
_cell_angle_beta 18.39
_cell_angle_gamma 18.39
loop_
_space_group_symop_operation_xyz
'x,y,z'
loop_
_atom_site_label
_atom_site_type_symbol
_atom_site_fract_x
_atom_site_fract_y
_atom_site_fract_z
_atom_site_occupancy
Ba1 Ba 0.0000 0.0000 0.0000 1
Sm1 Sm 0.1072 0.1072 0.1072 1
Sm2 Sm 0.8928 0.8928 0.8928 1
Ga1 Ga 0.5000 0.5000 0.5000 1
# - Excess energy over the best structure of this formula in the dataset: 56 kJ/mol of formula units
# - Volume: 143.3 Å³ per cell
# - Formation energy: -16 meV per atom
# - DOS(E_F): 4.31 states/eV per cell
# - Total magnetic moment: 0.0 μB per formula unit

---

Record 3
# BaSmGa | the Alexandria database | GGA-PBE | relaxed
data_BaSmGa
_space_group_name_H-M_alt 'P 1'
_space_group_IT_number 1
_cell_length_a 7.4090
_cell_length_b 7.4090
_cell_length_c 7.4090
_cell_angle_alpha 149.38
_cell_angle_beta 149.38
_cell_angle_gamma 43.85
loop_
_space_group_symop_operation_xyz
'x,y,z'
loop_
_atom_site_label
_atom_site_type_symbol
_atom_site_fract_x
_atom_site_fract_y
_atom_site_fract_z
_atom_site_occupancy
Ba1 Ba 0.0000 0.0000 0.0000 1
Sm1 Sm 0.2638 0.2638 0.0000 1
Ga1 Ga 0.6682 0.6682 0.0000 1
# - Excess energy over the best structure of this formula in the dataset: 0 kJ/mol of formula units
# - Volume: 105.2 Å³ per cell
# - Formation energy: -237 meV per atom
# - DOS(E_F): 2.82 states/eV per cell
# - Total magnetic moment: 0.0 μB per formula unit

---

Record 4
# BaSm2Ga | the Alexandria database | GGA-PBE | relaxed
data_BaSm2Ga
_space_group_name_H-M_alt 'P 1'
_space_group_IT_number 1
_cell_length_a 3.7381
_cell_length_b 3.7381
_cell_length_c 9.8701
_cell_angle_alpha 90.00
_cell_angle_beta 90.00
_cell_angle_gamma 90.00
loop_
_space_group_symop_operation_xyz
'x,y,z'
loop_
_atom_site_label
_atom_site_type_symbol
_atom_site_fract_x
_atom_site_fract_y
_atom_site_fract_z
_atom_site_occupancy
Ba1 Ba 0.0000 0.0000 0.0000 1
Sm1 Sm 0.5000 0.5000 0.3273 1
Sm2 Sm 0.5000 0.5000 0.6727 1
Ga1 Ga 0.0000 0.0000 0.5000 1
# - Excess energy over the best structure of this formula in the dataset: 0 kJ/mol of formula units
# - Volume: 137.9 Å³ per cell
# - Formation energy: -161 meV per atom
# - DOS(E_F): 5.98 states/eV per cell
# - Total magnetic moment: 0.0 μB per formula unit

---

Record 5
# BaSmTlGa | the Alexandria database | GGA-PBE | relaxed
data_BaSmTlGa
_space_group_name_H-M_alt 'P 1'
_space_group_IT_number 1
_cell_length_a 5.6384
_cell_length_b 5.6384
_cell_length_c 5.6384
_cell_angle_alpha 60.00
_cell_angle_beta 60.00
_cell_angle_gamma 60.00
loop_
_space_group_symop_operation_xyz
'x,y,z'
loop_
_atom_site_label
_atom_site_type_symbol
_atom_site_fract_x
_atom_site_fract_y
_atom_site_fract_z
_atom_site_occupancy
Ba1 Ba 0.0000 0.0000 0.0000 1
Sm1 Sm 0.5000 0.5000 0.5000 1
Tl1 Tl 0.7500 0.7500 0.7500 1
Ga1 Ga 0.2500 0.2500 0.2500 1
# - Volume: 126.8 Å³ per cell
# - Formation energy: -262 meV per atom
# - DOS(E_F): 5.45 states/eV per cell
# - Total magnetic moment: 0.0 μB per formula unit

---

Record 6
# Ba2Ga5Sn3 | the Alexandria database | GGA-PBE | relaxed
data_Ba2Ga5Sn3
_space_group_name_H-M_alt 'P 1'
_space_group_IT_number 1
_cell_length_a 5.0390
_cell_length_b 5.0390
_cell_length_c 10.7534
_cell_angle_alpha 90.00
_cell_angle_beta 90.00
_cell_angle_gamma 90.00
loop_
_space_group_symop_operation_xyz
'x,y,z'
loop_
_atom_site_label
_atom_site_type_symbol
_atom_site_fract_x
_atom_site_fract_y
_atom_site_fract_z
_atom_site_occupancy
Ba1 Ba 0.0000 0.5000 0.2349 1
Ba2 Ba 0.5000 0.0000 0.7651 1
Ga1 Ga 0.0000 0.0000 0.0000 1
Ga2 Ga 0.0000 0.0000 0.5000 1
Ga3 Ga 0.0000 0.5000 0.8978 1
Ga4 Ga 0.5000 0.0000 0.1022 1
Ga5 Ga 0.5000 0.5000 0.0000 1
Sn1 Sn 0.0000 0.5000 0.6393 1
Sn2 Sn 0.5000 0.0000 0.3607 1
Sn3 Sn 0.5000 0.5000 0.5000 1
# - Excess energy over the best structure of this formula in the dataset: 39 kJ/mol of formula units
# - Volume: 273.0 Å³ per cell
# - Formation energy: -356 meV per atom
# - DOS(E_F): 3.82 states/eV per cell
# - Total magnetic moment: 0.0 μB per formula unit

---

Record 7
# BaGa4Sn4 | the Alexandria database | GGA-PBE | relaxed
data_BaGa4Sn4
_space_group_name_H-M_alt 'P 1'
_space_group_IT_number 1
_cell_length_a 7.0877
_cell_length_b 7.0877
_cell_length_c 9.7549
_cell_angle_alpha 90.00
_cell_angle_beta 90.00
_cell_angle_gamma 90.00
loop_
_space_group_symop_operation_xyz
'x,y,z'
loop_
_atom_site_label
_atom_site_type_symbol
_atom_site_fract_x
_atom_site_fract_y
_atom_site_fract_z
_atom_site_occupancy
Ba1 Ba 0.2500 0.7500 0.2500 1
Ba2 Ba 0.7500 0.2500 0.7500 1
Ga1 Ga 0.0567 0.2500 0.1071 1
Ga2 Ga 0.2500 0.0567 0.6071 1
Ga3 Ga 0.2500 0.4433 0.6071 1
Ga4 Ga 0.4433 0.2500 0.1071 1
Ga5 Ga 0.5567 0.7500 0.8929 1
Ga6 Ga 0.7500 0.5567 0.3929 1
Ga7 Ga 0.7500 0.9433 0.3929 1
Ga8 Ga 0.9433 0.7500 0.8929 1
Sn1 Sn 0.0217 0.2500 0.3990 1
Sn2 Sn 0.2500 0.0217 0.8990 1
Sn3 Sn 0.2500 0.4783 0.8990 1
Sn4 Sn 0.4783 0.2500 0.3990 1
Sn5 Sn 0.5217 0.7500 0.6010 1
Sn6 Sn 0.7500 0.5217 0.1010 1
Sn7 Sn 0.7500 0.9783 0.1010 1
Sn8 Sn 0.9783 0.7500 0.6010 1
# - Volume: 490.0 Å³ per cell
# - Formation energy: -132 meV per atom
# - DOS(E_F): 10.65 states/eV per cell
# - Total magnetic moment: 0.0 μB per formula unit

---

Record 8
# Ba2GaSn3 | the Alexandria database | GGA-PBE | relaxed
data_Ba2GaSn3
_space_group_name_H-M_alt 'P 1'
_space_group_IT_number 1
_cell_length_a 7.1622
_cell_length_b 7.1622
_cell_length_c 8.1443
_cell_angle_alpha 124.61
_cell_angle_beta 124.61
_cell_angle_gamma 38.33
loop_
_space_group_symop_operation_xyz
'x,y,z'
loop_
_atom_site_label
_atom_site_type_symbol
_atom_site_fract_x
_atom_site_fract_y
_atom_site_fract_z
_atom_site_occupancy
Ba1 Ba 0.0000 0.0000 0.0000 1
Ba2 Ba 0.5092 0.5092 0.5027 1
Ga1 Ga 0.6978 0.6978 0.3639 1
Sn1 Sn 0.2103 0.2103 0.8734 1
Sn2 Sn 0.2858 0.2858 0.5993 1
Sn3 Sn 0.7939 0.7939 0.1425 1
# - Excess energy over the best structure of this formula in the dataset: 0 kJ/mol of formula units
# - Volume: 207.0 Å³ per cell
# - Formation energy: -561 meV per atom
# - DOS(E_F): 3.06 states/eV per cell
# - Total magnetic moment: 0.0 μB per formula unit

---

Record 9
# Ba2Ga3Sn5 | the Alexandria database | GGA-PBE | relaxed
data_Ba2Ga3Sn5
_space_group_name_H-M_alt 'P 1'
_space_group_IT_number 1
_cell_length_a 4.9760
_cell_length_b 4.9760
_cell_length_c 12.1291
_cell_angle_alpha 90.00
_cell_angle_beta 90.00
_cell_angle_gamma 90.00
loop_
_space_group_symop_operation_xyz
'x,y,z'
loop_
_atom_site_label
_atom_site_type_symbol
_atom_site_fract_x
_atom_site_fract_y
_atom_site_fract_z
_atom_site_occupancy
Ba1 Ba 0.0000 0.5000 0.2336 1
Ba2 Ba 0.5000 0.0000 0.7664 1
Ga1 Ga 0.0000 0.0000 0.0000 1
Ga2 Ga 0.0000 0.5000 0.8894 1
Ga3 Ga 0.5000 0.0000 0.1106 1
Sn1 Sn 0.0000 0.0000 0.5000 1
Sn2 Sn 0.0000 0.5000 0.6551 1
Sn3 Sn 0.5000 0.0000 0.3449 1
Sn4 Sn 0.5000 0.5000 0.0000 1
Sn5 Sn 0.5000 0.5000 0.5000 1
# - Excess energy over the best structure of this formula in the dataset: 50 kJ/mol of formula units
# - Volume: 300.3 Å³ per cell
# - Formation energy: -316 meV per atom
# - DOS(E_F): 6.25 states/eV per cell
# - Total magnetic moment: 0.0 μB per formula unit

---

Record 10
# Ba4Ga3Sn | the Alexandria database | GGA-PBE | relaxed
data_Ba4Ga3Sn
_space_group_name_H-M_alt 'P 1'
_space_group_IT_number 1
_cell_length_a 4.6067
_cell_length_b 5.1268
_cell_length_c 12.6531
_cell_angle_alpha 90.00
_cell_angle_beta 90.00
_cell_angle_gamma 90.00
loop_
_space_group_symop_operation_xyz
'x,y,z'
loop_
_atom_site_label
_atom_site_type_symbol
_atom_site_fract_x
_atom_site_fract_y
_atom_site_fract_z
_atom_site_occupancy
Ba1 Ba 0.0000 0.0000 0.0000 1
Ba2 Ba 0.0000 0.5000 0.4947 1
Ba3 Ba 0.5000 0.0000 0.7135 1
Ba4 Ba 0.5000 0.5000 0.2163 1
Ga1 Ga 0.0000 0.0000 0.3043 1
Ga2 Ga 0.5000 0.0000 0.4077 1
Ga3 Ga 0.5000 0.5000 0.9270 1
Sn1 Sn 0.0000 0.5000 0.7919 1
# - Volume: 298.8 Å³ per cell
# - Formation energy: -447 meV per atom
# - DOS(E_F): 8.63 states/eV per cell
# - Total magnetic moment: 0.0 μB per formula unit